# 1
## LiSb2Te (PBE)

Data for an optimized crystal structure of LiSb2Te.

```
data_LiSb2Te
_chemical_formula_sum 'Li1 Sb2 Te1'
_cell_length_a 4.3008
_cell_length_b 3.1871
_cell_length_c 7.8421
_cell_angle_alpha 89.99
_cell_angle_beta 90.00
_cell_angle_gamma 90.00
_symmetry_space_group_name_H-M 'P 1'
_symmetry_Int_Tables_number 1
loop_
_symmetry_equiv_pos_as_xyz
'x,y,z'
loop_
_atom_site_label
_atom_site_type_symbol
_atom_site_fract_x
_atom_site_fract_y
_atom_site_fract_z
_atom_site_occupancy
Li1 Li 0.5000 0.7500 0.7500 1
Sb1 Sb 0.0000 0.2498 0.9420 1
Sb2 Sb 0.0000 0.2502 0.5580 1
Te1 Te 0.5000 0.2500 0.2500 1
```

Computed properties:
SG: Pmmm (47)
Formation energy (no corrections) in eV/atom: -0.131
VASP energy in eV per atom: -3.46


# 2
## Pr2MgZn4Pt3 (PBE)

Data for an optimized crystal structure of Pr2MgZn4Pt3.

```
data_Pr2MgZn4Pt3
_chemical_formula_sum 'Pr2 Mg1 Zn4 Pt3'
_cell_length_a 4.0524
_cell_length_b 4.0524
_cell_length_c 12.0485
_cell_angle_alpha 90.00
_cell_angle_beta 90.00
_cell_angle_gamma 90.00
_symmetry_space_group_name_H-M 'P 1'
_symmetry_Int_Tables_number 1
loop_
_symmetry_equiv_pos_as_xyz
'x,y,z'
loop_
_atom_site_label
_atom_site_type_symbol
_atom_site_fract_x
_atom_site_fract_y
_atom_site_fract_z
_atom_site_occupancy
Mg1 Mg 0.5000 0.5000 0.5000 1
Zn1 Zn 0.5000 0.5000 0.0000 1
Zn2 Zn 0.0000 0.0000 0.0000 1
Zn3 Zn 0.5000 0.0000 0.6432 1
Zn4 Zn 0.0000 0.5000 0.3568 1
Pr1 Pr 0.5000 0.0000 0.2363 1
Pr2 Pr 0.0000 0.5000 0.7637 1
Pt1 Pt 0.0000 0.0000 0.5000 1
Pt2 Pt 0.0000 0.5000 0.1410 1
Pt3 Pt 0.5000 0.0000 0.8590 1
```

Computed properties:
E_form in meV/atom: -699
SG: P-4m2 (115)
VASP energy in eV per atom: -4.14


Number 2 is which compound? Pr2MgZn4Pt3


Please write out number 2 again, unchanged.
## Pr2MgZn4Pt3 (PBE)

Data for an optimized crystal structure of Pr2MgZn4Pt3.

```
data_Pr2MgZn4Pt3
_chemical_formula_sum 'Pr2 Mg1 Zn4 Pt3'
_cell_length_a 4.0524
_cell_length_b 4.0524
_cell_length_c 12.0485
_cell_angle_alpha 90.00
_cell_angle_beta 90.00
_cell_angle_gamma 90.00
_symmetry_space_group_name_H-M 'P 1'
_symmetry_Int_Tables_number 1
loop_
_symmetry_equiv_pos_as_xyz
'x,y,z'
loop_
_atom_site_label
_atom_site_type_symbol
_atom_site_fract_x
_atom_site_fract_y
_atom_site_fract_z
_atom_site_occupancy
Mg1 Mg 0.5000 0.5000 0.5000 1
Zn1 Zn 0.5000 0.5000 0.0000 1
Zn2 Zn 0.0000 0.0000 0.0000 1
Zn3 Zn 0.5000 0.0000 0.6432 1
Zn4 Zn 0.0000 0.5000 0.3568 1
Pr1 Pr 0.5000 0.0000 0.2363 1
Pr2 Pr 0.0000 0.5000 0.7637 1
Pt1 Pt 0.0000 0.0000 0.5000 1
Pt2 Pt 0.0000 0.5000 0.1410 1
Pt3 Pt 0.5000 0.0000 0.8590 1
```

Computed properties:
E_form in meV/atom: -699
SG: P-4m2 (115)
VASP energy in eV per atom: -4.14


Which formula does entry 2 have? Pr2MgZn4Pt3